# 1
Below is Ho6InCo2 at its PBEsol-relaxed geometry, with properties calculated at the SCAN level. Values from VASP.

Summary:
- Energy of formation: -0.28 eV per atom
- Magnetization: 0.000 μB/atom

Quantum ESPRESSO input file:
```
&SYSTEM
  ibrav = 0, nat = 18, ntyp = 3
/
ATOMIC_SPECIES
Ho 164.93 Ho.upf
In 114.82 In.upf
Co 58.93 Co.upf
CELL_PARAMETERS angstrom
8.188 0.001 0.004
-3.026 7.609 -0.004
2.806 3.653 6.770
ATOMIC_POSITIONS crystal
Ho 0.697 0.012 0.685
Ho 0.303 0.988 0.315
Ho 0.303 0.618 0.685
Ho 0.697 0.382 0.315
Ho 0.524 0.712 0.188
Ho 0.476 0.288 0.812
Ho 0.100 0.288 0.188
Ho 0.900 0.712 0.812
Ho 0.789 0.232 0.980
Ho 0.211 0.768 0.020
Ho 0.211 0.232 0.557
Ho 0.789 0.768 0.443
In 0.000 0.500 0.500
In 0.000 0.000 0.000
Co 0.500 0.612 0.888
Co 0.500 0.388 0.112
Co 0.624 0.000 0.376
Co 0.376 0.000 0.624
```

***

# 2
Below is HoInCo2 at its PBEsol-relaxed geometry, with properties calculated at the SCAN level. Values from VASP.

Summary:
- Energy of formation: -0.30 eV per atom
- Magnetization: 0.706 μB/atom

Quantum ESPRESSO input file:
```
&SYSTEM
  ibrav = 0, nat = 8, ntyp = 3
/
ATOMIC_SPECIES
Ho 164.93 Ho.upf
In 114.82 In.upf
Co 58.93 Co.upf
CELL_PARAMETERS angstrom
3.927 0.000 0.000
0.000 4.928 0.000
0.000 0.000 6.980
ATOMIC_POSITIONS crystal
Ho 0.500 0.750 0.276
Ho 0.500 0.250 0.724
In 0.000 0.750 0.648
In 0.000 0.250 0.352
Co 0.000 0.500 0.000
Co 0.000 0.000 0.000
Co 0.500 0.750 0.907
Co 0.500 0.250 0.093
```

***

# 3
Below is Ho8In3Co at its PBEsol-relaxed geometry, with properties calculated at the SCAN level. Values from VASP.

Summary:
- Energy of formation: -0.45 eV per atom
- Magnetization: 0.000 μB/atom

Quantum ESPRESSO input file:
```
&SYSTEM
  ibrav = 0, nat = 24, ntyp = 3
/
ATOMIC_SPECIES
Ho 164.93 Ho.upf
In 114.82 In.upf
Co 58.93 Co.upf
CELL_PARAMETERS angstrom
-4.316 -0.712 -5.238
1.546 -10.029 0.090
-7.448 4.036 5.587
ATOMIC_POSITIONS crystal
Ho 0.996 0.931 0.466
Ho 0.996 0.534 0.069
Ho 0.996 0.534 0.466
Ho 0.496 0.069 0.534
Ho 0.496 0.466 0.931
Ho 0.496 0.466 0.534
Ho 0.786 0.644 0.822
Ho 0.786 0.178 0.356
Ho 0.786 0.178 0.822
Ho 0.286 0.356 0.178
Ho 0.286 0.822 0.644
Ho 0.286 0.822 0.178
Ho 0.606 0.667 0.333
Ho 0.106 0.333 0.667
Ho 0.006 0.000 0.000
Ho 0.506 0.000 0.000
In 0.749 0.326 0.163
In 0.749 0.837 0.674
In 0.749 0.837 0.163
In 0.249 0.674 0.837
In 0.249 0.163 0.326
In 0.249 0.163 0.837
Co 0.217 0.667 0.333
Co 0.717 0.333 0.667
```